[1]
Material: Ba2NaNd2Hg5
Method: DFT, PBE
State: optimized geometry

It has space group P4/mbm (No. 127), with a = 12.353 Å, b = 12.353 Å, c = 4.185 Å, α = 90.00°, β = 90.00° and γ = 90.00°. The asymmetric unit holds Ba at (0.170, 0.330, 0.000), Na at (0.000, 0.000, 0.000), Nd at (0.132, 0.632, 0.000), Hg at (0.000, 0.500, 0.500) and Hg at (0.070, 0.818, 0.500).

The value obtained for the total magnetization is 0.000 μB/atom. The theoretical density is 8.26 Mg/m³. The value obtained for the formation energy is -0.318 eV per atom.

***

[2]
Material: BaNaNiHg2
Method: DFT, PBE
State: optimized geometry

It has space group P4/mmm (No. 123), with a = 5.187 Å, b = 5.187 Å, c = 5.197 Å, α = 90.00°, β = 90.00° and γ = 90.00°. The asymmetric unit holds Ba at (0.000, 0.000, 0.000), Na at (0.500, 0.500, 0.000), Ni at (0.500, 0.500, 0.500) and Hg at (0.000, 0.500, 0.500).

The value obtained for the total magnetization is 0.000 μB/atom. The theoretical density is 7.36 Mg/m³. The value obtained for the formation energy is -0.118 eV per atom.

***

[3]
Material: BaNa2HgO
Method: DFT, PBE
State: optimized geometry

It has space group P4/mmm (No. 123), with a = 5.013 Å, b = 5.013 Å, c = 5.270 Å, α = 90.00°, β = 90.00° and γ = 90.00°. The asymmetric unit holds Ba at (0.000, 0.000, 0.000), Na at (0.000, 0.500, 0.500), Hg at (0.500, 0.500, 0.000) and O at (0.000, 0.000, 0.500).

The formation energy without anion corrections comes out at -0.9190 eV per atom. The value obtained for the total magnetization is 0.000 μB/atom. The theoretical density is 5.01 Mg/m³.